DFT (PBE with a Hubbard U) results for an optimized crystal structure of LiNiP3O9.

Calculated values
**Symmetry**: P-1
**Crystal system**: triclinic
**Offset from the most stable computed form**: 19 meV/atom
**Total magnetization**: 2.1 μB/f.u.
**DOS(E_F)**: 0.0000 states/eV/atom

a b c (Å): 7.030 6.470 7.438
angles (deg): 86.76 74.75 88.19
Sites, in units of the cell vectors:
Li (0.985, 0.827, 0.858)
Li (0.015, 0.173, 0.142)
Ni (0.417, 0.866, 0.862)
Ni (0.583, 0.134, 0.138)
P (0.743, 0.864, 0.446)
P (0.105, 0.663, 0.226)
P (0.526, 0.645, 0.218)
P (0.474, 0.355, 0.782)
P (0.895, 0.337, 0.774)
P (0.257, 0.136, 0.554)
O (0.236, 0.951, 0.691)
O (0.673, 0.894, 0.651)
O (0.136, 0.839, 0.076)
O (0.575, 0.825, 0.071)
O (0.953, 0.748, 0.413)
O (0.602, 0.697, 0.395)
O (0.294, 0.644, 0.311)
O (0.398, 0.562, 0.845)
O (0.955, 0.542, 0.813)
O (0.045, 0.458, 0.187)
O (0.602, 0.438, 0.155)
O (0.706, 0.356, 0.689)
O (0.398, 0.303, 0.605)
O (0.047, 0.252, 0.587)
O (0.425, 0.175, 0.929)
O (0.864, 0.161, 0.924)
O (0.327, 0.106, 0.349)
O (0.764, 0.049, 0.309)